[1]
VASP calculation (PBE) on a relaxed BaSr4Cd5 crystal. Values from VASP.

Values from the calculation:
symmetry	No. 123
total magnetic moment	0.000	μB/atom
crystal system	tetragonal

Cell and atoms, written as Quantum ESPRESSO input:
```
&SYSTEM
  ibrav = 0, nat = 10, ntyp = 3
/
ATOMIC_SPECIES
Cd 112.41 Cd.upf
Sr 87.62 Sr.upf
Ba 137.33 Ba.upf
ATOMIC_POSITIONS crystal
Cd 0.5000 0.5000 0.8907
Sr 0.0000 0.0000 0.4020
Ba 0.0000 0.0000 0.0000
Cd 0.5000 0.5000 0.6956
Cd 0.5000 0.5000 0.5000
Cd 0.5000 0.5000 0.3044
Cd 0.5000 0.5000 0.1093
Sr 0.0000 0.0000 0.5980
Sr 0.0000 0.0000 0.2065
Sr 0.0000 0.0000 0.7935
CELL_PARAMETERS angstrom
4.0856 0.0000 0.0000
0.0000 4.0856 0.0000
0.0000 0.0000 20.6342
```



[2]
VASP calculation (PBE) on a relaxed KRb2Ag crystal. Values from VASP.

Values from the calculation:
symmetry	No. 14
total magnetic moment	0.000	μB/atom
crystal system	monoclinic

Cell and atoms, written as Quantum ESPRESSO input:
```
&SYSTEM
  ibrav = 0, nat = 16, ntyp = 3
/
ATOMIC_SPECIES
Ag 107.87 Ag.upf
Rb 85.47 Rb.upf
K 39.10 K.upf
ATOMIC_POSITIONS crystal
Ag 0.8521 0.9652 0.4316
Rb 0.7499 0.5792 0.1614
K 0.4994 0.1958 0.4995
Rb 0.2044 0.8579 0.2182
Rb 0.7956 0.1421 0.7818
Rb 0.7501 0.0792 0.1614
Ag 0.3521 0.5348 0.5684
Ag 0.6479 0.4652 0.4316
K 0.5006 0.8042 0.5005
K 0.9994 0.3042 0.5005
Ag 0.1479 0.0348 0.5684
Rb 0.2956 0.3579 0.2182
Rb 0.7044 0.6421 0.7818
Rb 0.2499 0.9208 0.8386
Rb 0.2501 0.4208 0.8386
K 0.0006 0.6958 0.4995
CELL_PARAMETERS angstrom
8.3118 0.0000 0.0000
0.0000 9.3694 -4.5292
0.0000 0.0273 12.1555
```



[3]
VASP calculation (PBE) on a relaxed Sr3PbN crystal. Values from VASP.

Values from the calculation:
symmetry	No. 12
E_form (uncorrected)	-0.05	eV per atom
total magnetic moment	0.000	μB/atom
crystal system	monoclinic

Cell and atoms, written as Quantum ESPRESSO input:
```
&SYSTEM
  ibrav = 0, nat = 10, ntyp = 3
/
ATOMIC_SPECIES
Pb 207.20 Pb.upf
Sr 87.62 Sr.upf
N 14.01 N.upf
ATOMIC_POSITIONS crystal
Pb 0.2464 0.9624 0.0376
Sr 0.7128 0.3683 0.6317
N 0.3251 0.9841 0.0159
Pb 0.7536 0.0376 0.9624
Sr 0.0703 0.2617 0.7383
Sr 0.4281 0.7355 0.2645
Sr 0.5719 0.2645 0.7355
Sr 0.9297 0.7383 0.2617
N 0.6749 0.0159 0.9841
Sr 0.2872 0.6317 0.3683
CELL_PARAMETERS angstrom
-12.3136 22.3344 4.7169
-6.3092 1.2688 1.2823
5.5435 -2.4856 2.4802
```



[4]
VASP calculation (PBE) on a relaxed LiHo2Ge3Pt4 crystal. Values from VASP.

Values from the calculation:
symmetry	No. 115
total magnetic moment	0.000	μB/atom
crystal system	tetragonal

Cell and atoms, written as Quantum ESPRESSO input:
```
&SYSTEM
  ibrav = 0, nat = 10, ntyp = 4
/
ATOMIC_SPECIES
Pt 195.08 Pt.upf
Ho 164.93 Ho.upf
Ge 72.64 Ge.upf
Li 6.94 Li.upf
ATOMIC_POSITIONS crystal
Pt 0.0000 0.0000 0.0000
Pt 0.5000 0.5000 0.0000
Ho 0.0000 0.5000 0.7471
Ho 0.5000 0.0000 0.2529
Ge 0.0000 0.5000 0.1370
Pt 0.0000 0.5000 0.3653
Li 0.5000 0.5000 0.5000
Pt 0.5000 0.0000 0.6347
Ge 0.5000 0.0000 0.8630
Ge 0.0000 0.0000 0.5000
CELL_PARAMETERS angstrom
4.1736 0.0000 0.0000
0.0000 4.1736 0.0000
0.0000 0.0000 10.4935
```



no.,final energy (eV per atom)
1,-1.6495
2,-1.4447
3,-3.4617
4,-5.7974